This record from the Alexandria database describes OsPb2Se after structural relaxation. The functional is PBE.

## Properties
The calculation puts the density of states at the Fermi level at 3.15 states/eV per cell. For the energy relative to the elements, uncorrected, the calculation gives 0.49 eV per atom.

a = 7.6064 Å, b = 7.6064 Å, c = 4.2104 Å
α = 105.95°, β = 105.95°, γ = 24.96°
With the nearest neighbours (Å) after each atom.
Positions (direct):
Os 0.0000 0.0000 0.0000  4 Se 2.67, 4 Pb 2.91
Pb 0.3314 0.3314 0.8313  2 Os 2.91, 2 Se 3.19-3.20
Pb 0.6686 0.6686 0.1687  2 Os 2.91, 2 Se 3.19-3.20
Se 0.5000 0.5000 0.5000  4 Os 2.67